1.
The following is a DFT calculation (PBE-GGA) of an optimized crystal structure of PrSmInRh.

The structure belongs to space group F-43m (No. 216); the cell edges are 7.426, 7.426 and 7.426 Å and the angles 90.00°, 90.00° and 90.00°. The inequivalent atoms are Pr at (0.000, 0.000, 0.000), Sm at (0.000, 0.000, 0.500), In at (0.250, 0.250, 0.250) and Rh at (0.250, 0.250, 0.750).

The density of states at the Fermi level comes out at 0.925 states/eV per atom. Its calculated formation energy is -0.443 eV per atom.


2.
The following is a DFT calculation (PBE-GGA) of an optimized crystal structure of ScReIr2.

The structure belongs to space group R3m (No. 160, hexagonal axes); the cell edges are 2.8585, 2.8585 and 27.0131 Å and the angles 90.00°, 90.00° and 120.00°. The inequivalent atoms are Sc at (0.0000, 0.0000, 0.0000), Re at (0.0000, 0.0000, 0.2430), Ir at (0.0000, 0.0000, 0.5000) and Ir at (0.0000, 0.0000, 0.7470).

The density of states at the Fermi level comes out at 0.849 states/eV per atom. The distance to the lowest polymorph of the same formula comes out at 434.9 meV per atom. Its calculated formation energy is -0.021 eV per atom.


3.
The following is a DFT calculation (PBE-GGA) of an optimized crystal structure of CuAg3.

The structure belongs to space group Pnma (No. 62); the cell edges are 4.923, 9.296 and 5.815 Å and the angles 90.00°, 90.00° and 90.00°. The inequivalent atoms are Cu at (0.083, 0.250, 0.131), Ag at (0.073, 0.250, 0.618) and Ag at (0.242, 0.506, 0.872).

The density of states at the Fermi level comes out at 0.376 states/eV per atom. Its calculated formation energy is 0.100 eV per atom.


4.
The following is a DFT calculation (PBE-GGA) of an optimized crystal structure of CeUSe2S.

The structure belongs to space group P4/nmm (No. 129, origin choice 2); the cell edges are 4.186, 4.186 and 14.128 Å and the angles 90.00°, 90.00° and 90.00°. The inequivalent atoms are Ce at (0.250, 0.250, 0.100), U at (0.250, 0.250, 0.625), Se at (0.250, 0.250, 0.305), Se at (0.250, 0.250, 0.884) and S at (0.250, 0.750, 0.500).

The density of states at the Fermi level comes out at 2.746 states/eV per atom. The calculation puts the raw formation energy at -1430 meV/atom.


5.
The following is a DFT calculation (PBE-GGA) of an optimized crystal structure of CeBeSi2Ni.

The structure belongs to space group I-4m2 (No. 119); the cell edges are 3.970, 3.970 and 9.613 Å and the angles 90.00°, 90.00° and 90.00°. The inequivalent atoms are Ce at (0.000, 0.000, 0.000), Be at (0.000, 0.500, 0.250), Si at (0.000, 0.000, 0.374) and Ni at (0.000, 0.500, 0.750).

The density of states at the Fermi level comes out at 0.644 states/eV per atom. The calculation puts the raw formation energy at -668 meV/atom.


6.
The following is a DFT calculation (PBE-GGA) of an optimized crystal structure of TlCo2Br.

The structure belongs to space group Pmm2 (No. 25); the cell edges are 3.166, 3.245 and 8.035 Å and the angles 90.00°, 90.00° and 90.00°. The inequivalent atoms are Tl at (0.000, 0.000, 0.000), Co at (0.000, 0.000, 0.620), Co at (0.500, 0.500, 0.745) and Br at (0.500, 0.500, 0.429).

The density of states at the Fermi level comes out at 1.455 states/eV per atom. The distance to the lowest polymorph of the same formula comes out at 58.1 meV per atom. The calculation puts the raw formation energy at 403 meV/atom.